1.
# Y2Al2Co15

Y2Al2Co15 at its PBEsol-relaxed geometry (SCAN, Alexandria via LeMat-Bulk).

```
data_Y2Al2Co15
_chemical_formula_sum 'Y4 Al4 Co30'
_space_group_name_H-M_alt 'P 63/m m c'
_space_group_IT_number 194
_space_group_name_Hall '-P 6c 2c'
_cell_length_a 8.1614
_cell_length_b 8.1614
_cell_length_c 8.0884
_cell_angle_alpha 90.00
_cell_angle_beta 90.00
_cell_angle_gamma 120.00
loop_
_atom_site_label
_atom_site_type_symbol
_atom_site_fract_x
_atom_site_fract_y
_atom_site_fract_z
Y1 Y 0.0000 0.0000 0.2500
Y2 Y 0.3333 0.6667 0.2500
Al1 Al 0.3333 0.6667 0.5966
Co1 Co 0.0000 0.5000 0.0000
Co2 Co 0.0482 0.3760 0.7500
Co3 Co 0.1636 0.3273 0.0267
```

Summary:
ΔH_f (0 K) (eV per atom): -0.11



2.
# Y2Al14Co3

Y2Al14Co3 at its PBEsol-relaxed geometry (SCAN, Alexandria via LeMat-Bulk).

```
data_Y2Al14Co3
_chemical_formula_sum 'Y4 Al28 Co6'
_space_group_name_H-M_alt 'P 63/m m c'
_space_group_IT_number 194
_space_group_name_Hall '-P 6c 2c'
_cell_length_a 8.8134
_cell_length_b 8.8134
_cell_length_c 8.7349
_cell_angle_alpha 90.00
_cell_angle_beta 90.00
_cell_angle_gamma 120.00
loop_
_atom_site_label
_atom_site_type_symbol
_atom_site_fract_x
_atom_site_fract_y
_atom_site_fract_z
Y1 Y 0.0000 0.0000 0.2500
Y2 Y 0.3333 0.6667 0.2500
Al1 Al 0.0331 0.3719 0.7500
Al2 Al 0.1714 0.3429 0.0221
Al3 Al 0.3333 0.6667 0.5956
Co1 Co 0.0000 0.5000 0.0000
```

Summary:
ΔH_f (0 K) (eV per atom): -0.45



3.
# YAlCo4

YAlCo4 at its PBEsol-relaxed geometry (SCAN, Alexandria via LeMat-Bulk).

```
data_YAlCo4
_chemical_formula_sum 'Y1 Al1 Co4'
_space_group_name_H-M_alt 'P -6 m 2'
_space_group_IT_number 187
_space_group_name_Hall 'P -6 2'
_cell_length_a 4.9677
_cell_length_b 4.9677
_cell_length_c 3.8208
_cell_angle_alpha 90.00
_cell_angle_beta 90.00
_cell_angle_gamma 120.00
loop_
_atom_site_label
_atom_site_type_symbol
_atom_site_fract_x
_atom_site_fract_y
_atom_site_fract_z
Y1 Y 0.0000 0.0000 0.0000
Al1 Al 0.6667 0.3333 0.0000
Co1 Co 0.0079 0.5040 0.5000
Co2 Co 0.3333 0.6667 0.0000
```

Summary:
ΔH_f (0 K) (eV per atom): -0.22



4.
# Y3AlCo

Y3AlCo at its PBEsol-relaxed geometry (SCAN, Alexandria via LeMat-Bulk).

```
data_Y3AlCo
_chemical_formula_sum 'Y3 Al1 Co1'
_space_group_name_H-M_alt 'P m -3 m'
_space_group_IT_number 221
_space_group_name_Hall '-P 4 2 3'
_cell_length_a 5.037
_cell_length_b 5.037
_cell_length_c 5.037
_cell_angle_alpha 90.00
_cell_angle_beta 90.00
_cell_angle_gamma 90.00
loop_
_atom_site_label
_atom_site_type_symbol
_atom_site_fract_x
_atom_site_fract_y
_atom_site_fract_z
Y1 Y 0.000 0.000 0.500
Al1 Al 0.500 0.500 0.500
Co1 Co 0.000 0.000 0.000
```

Summary:
ΔH_f (0 K) (eV per atom): -0.04



5.
# AlZnCo2

AlZnCo2 at its PBEsol-relaxed geometry (SCAN, Alexandria via LeMat-Bulk).

```
data_AlZnCo2
_chemical_formula_sum 'Al2 Zn2 Co4'
_space_group_name_H-M_alt 'C 1 m 1'
_space_group_IT_number 8
_space_group_name_Hall 'C -2y'
_cell_length_a 8.918
_cell_length_b 2.657
_cell_length_c 4.170
_cell_angle_alpha 90.00
_cell_angle_beta 111.02
_cell_angle_gamma 90.00
loop_
_atom_site_label
_atom_site_type_symbol
_atom_site_fract_x
_atom_site_fract_y
_atom_site_fract_z
Al1 Al 0.000 0.000 0.000
Zn1 Zn 0.229 0.000 0.624
Co1 Co 0.249 0.500 0.136
Co2 Co 0.479 0.000 0.491
```

Summary:
ΔH_f (0 K) (eV per atom): -0.15



6.
# AlZn3Co

AlZn3Co at its PBEsol-relaxed geometry (SCAN, Alexandria via LeMat-Bulk).

```
data_AlZn3Co
_chemical_formula_sum 'Al1 Zn3 Co1'
_space_group_name_H-M_alt 'P m -3 m'
_space_group_IT_number 221
_space_group_name_Hall '-P 4 2 3'
_cell_length_a 4.601
_cell_length_b 4.601
_cell_length_c 4.601
_cell_angle_alpha 90.00
_cell_angle_beta 90.00
_cell_angle_gamma 90.00
loop_
_atom_site_label
_atom_site_type_symbol
_atom_site_fract_x
_atom_site_fract_y
_atom_site_fract_z
Al1 Al 0.000 0.000 0.000
Zn1 Zn 0.000 0.000 0.500
Co1 Co 0.500 0.500 0.500
```

Summary:
ΔH_f (0 K) (eV per atom): 1.04



7.
# ZrAlCo2

ZrAlCo2 at its PBEsol-relaxed geometry (SCAN, Alexandria via LeMat-Bulk).

```
data_ZrAlCo2
_chemical_formula_sum 'Zr3 Al3 Co6'
_space_group_name_H-M_alt 'R 3 m'
_space_group_IT_number 160
_space_group_name_Hall 'R 3 -2"'
_cell_length_a 2.7653
_cell_length_b 2.7653
_cell_length_c 25.7615
_cell_angle_alpha 90.00
_cell_angle_beta 90.00
_cell_angle_gamma 120.00
loop_
_atom_site_label
_atom_site_type_symbol
_atom_site_fract_x
_atom_site_fract_y
_atom_site_fract_z
Zr1 Zr 0.0000 0.0000 0.0000
Al1 Al 0.0000 0.0000 0.7664
Co1 Co 0.0000 0.0000 0.2429
Co2 Co 0.0000 0.0000 0.5073
```

Summary:
ΔH_f (0 K) (eV per atom): 0.12



8.
# ZrAlCo4

ZrAlCo4 at its PBEsol-relaxed geometry (SCAN, Alexandria via LeMat-Bulk).

```
data_ZrAlCo4
_chemical_formula_sum 'Zr4 Al4 Co16'
_space_group_name_H-M_alt 'F -4 3 m'
_space_group_IT_number 216
_space_group_name_Hall 'F -4 2 3'
_cell_length_a 6.643
_cell_length_b 6.643
_cell_length_c 6.643
_cell_angle_alpha 90.00
_cell_angle_beta 90.00
_cell_angle_gamma 90.00
loop_
_atom_site_label
_atom_site_type_symbol
_atom_site_fract_x
_atom_site_fract_y
_atom_site_fract_z
Zr1 Zr 0.000 0.000 0.000
Al1 Al 0.250 0.250 0.250
Co1 Co 0.124 0.124 0.624
```

Summary:
ΔH_f (0 K) (eV per atom): -0.29



9.
# ZrAlCo2

ZrAlCo2 at its PBEsol-relaxed geometry (SCAN, Alexandria via LeMat-Bulk).

```
data_ZrAlCo2
_chemical_formula_sum 'Zr1 Al1 Co2'
_space_group_name_H-M_alt 'P 4/m m m'
_space_group_IT_number 123
_space_group_name_Hall '-P 4 2'
_cell_length_a 4.184
_cell_length_b 4.184
_cell_length_c 3.071
_cell_angle_alpha 90.00
_cell_angle_beta 90.00
_cell_angle_gamma 90.00
loop_
_atom_site_label
_atom_site_type_symbol
_atom_site_fract_x
_atom_site_fract_y
_atom_site_fract_z
Zr1 Zr 0.000 0.000 0.000
Al1 Al 0.500 0.500 0.000
Co1 Co 0.000 0.500 0.500
```

Summary:
ΔH_f (0 K) (eV per atom): -0.44



10.
# Zr6Al2Co

Zr6Al2Co at its PBEsol-relaxed geometry (SCAN, Alexandria via LeMat-Bulk).

```
data_Zr6Al2Co
_chemical_formula_sum 'Zr6 Al2 Co1'
_space_group_name_H-M_alt 'P -6 2 m'
_space_group_IT_number 189
_space_group_name_Hall 'P -6 -2'
_cell_length_a 7.8372
_cell_length_b 7.8372
_cell_length_c 3.2822
_cell_angle_alpha 90.00
_cell_angle_beta 90.00
_cell_angle_gamma 120.00
loop_
_atom_site_label
_atom_site_type_symbol
_atom_site_fract_x
_atom_site_fract_y
_atom_site_fract_z
Zr1 Zr 0.0000 0.2505 0.0000
Zr2 Zr 0.0000 0.5996 0.5000
Al1 Al 0.3333 0.6667 0.0000
Co1 Co 0.0000 0.0000 0.5000
```

Summary:
ΔH_f (0 K) (eV per atom): -0.34



11.
# Zr2Al3Co

Zr2Al3Co at its PBEsol-relaxed geometry (SCAN, Alexandria via LeMat-Bulk).

```
data_Zr2Al3Co
_chemical_formula_sum 'Zr6 Al9 Co3'
_space_group_name_H-M_alt 'R -3 m'
_space_group_IT_number 166
_space_group_name_Hall '-R 3 2"'
_cell_length_a 5.2160
_cell_length_b 5.2160
_cell_length_c 12.3089
_cell_angle_alpha 90.00
_cell_angle_beta 90.00
_cell_angle_gamma 120.00
loop_
_atom_site_label
_atom_site_type_symbol
_atom_site_fract_x
_atom_site_fract_y
_atom_site_fract_z
Zr1 Zr 0.0000 0.0000 0.1281
Al1 Al 0.0000 0.5000 0.0000
Co1 Co 0.0000 0.0000 0.5000
```

Summary:
ΔH_f (0 K) (eV per atom): -0.55



12.
# Zr2Al6Co

Zr2Al6Co at its PBEsol-relaxed geometry (SCAN, Alexandria via LeMat-Bulk).

```
data_Zr2Al6Co
_chemical_formula_sum 'Zr2 Al6 Co1'
_space_group_name_H-M_alt 'P -6 2 m'
_space_group_IT_number 189
_space_group_name_Hall 'P -6 -2'
_cell_length_a 7.6680
_cell_length_b 7.6680
_cell_length_c 2.9987
_cell_angle_alpha 90.00
_cell_angle_beta 90.00
_cell_angle_gamma 120.00
loop_
_atom_site_label
_atom_site_type_symbol
_atom_site_fract_x
_atom_site_fract_y
_atom_site_fract_z
Zr1 Zr 0.3333 0.6667 0.0000
Al1 Al 0.0000 0.2474 0.0000
Al2 Al 0.0000 0.6573 0.5000
Co1 Co 0.0000 0.0000 0.5000
```

Summary:
ΔH_f (0 K) (eV per atom): -0.17